This record from the Alexandria database describes a geometry-optimized MnCoF3 structure. The functional is GGA+U.

- calculated total energy (eV/atom) = -5.18
- polymorph energy (0 for the lowest one) (eV/f.u.) = 0.00
- space group = No. 221
- M_tot (Bohr magnetons per cell) = 2.2

Unit cell a=4.1849 b=4.1849 c=4.1849 alpha=90.00 beta=90.00 gamma=90.00
Last column: nearest neighbours and their distance in Å.
Atoms (fractional coordinates):
Mn: 0.0000 0.0000 0.0000  6 F 2.09
Co: 0.5000 0.5000 0.5000  12 F 2.96
F: 0.0000 0.0000 0.5000  2 Mn 2.09
F: 0.0000 0.5000 0.0000  2 Mn 2.09
F: 0.5000 0.0000 0.0000  2 Mn 2.09